1.
The following is a GGA-PBEsol calculation of a relaxed structure of Be2TeAs, from Alexandria.

a b c (Å): 3.528 5.701 6.859
angles (deg): 90.00 90.00 90.00
Space group Cmmm (No. 65)
Unique sites:
Be 0.000 0.000 0.211
Te 0.000 0.500 0.500
As 0.000 0.500 0.000

Summary:
ΔE_f (raw) in eV per atom: 0.4829

2.
The following is a GGA-PBEsol calculation of a relaxed structure of Be2TeAs, from Alexandria.

a b c (Å): 5.763 6.626 3.363
angles (deg): 90.00 90.00 90.00
Space group Cmmm (No. 65)
Unique sites:
Be 0.250 0.250 0.000
Te 0.000 0.000 0.500
As 0.000 0.500 0.500

Summary:
ΔE_f (raw) in eV per atom: 0.6445

3.
The following is a GGA-PBEsol calculation of a relaxed structure of Be2TeAs, from Alexandria.

a b c (Å): 3.5654 3.5654 17.3564
angles (deg): 90.00 90.00 120.00
Space group R-3m (No. 166, hexagonal axes)
Unique sites:
Be 0.0000 0.0000 0.2343
Te 0.0000 0.0000 0.0000
As 0.0000 0.0000 0.5000

Summary:
ΔE_f (raw) in eV per atom: 0.1374

| no. | ρ (g/cm³) | energy (eV per cell) | DOS at the Fermi energy (states/eV per cell) |
| --- | --- | --- | --- |
| 1 | 5.31 | -29.4 | 3.502 |
| 2 | 5.70 | -28.1 | 3.440 |
| 3 | 5.75 | -48.2 | 3.314 |